[1]
A relaxed CeHBr3 crystal, computed with PBE-GGA.

Geometry as POSCAR:
```
CeHBr3
1.0
-4.963 4.568 4.085
4.963 -4.568 4.085
4.963 4.568 -4.085
Ce H Br
2 2 6
Cartesian
2.482 2.285 0.000 Ce
2.482 2.283 4.085 Ce
7.445 -1.441 2.042 H
2.482 1.441 2.042 H
5.163 2.284 0.006 Br
4.763 -2.284 4.092 Br
2.482 4.323 2.045 Br
0.200 6.852 0.006 Br
-0.200 2.284 4.092 Br
-2.482 4.813 2.045 Br
```

Calculated values
Energy, eV per atom: -3.95
M_tot, μB/f.u.: 0.00


[2]
A relaxed CeHBr crystal, computed with PBE-GGA.

Geometry as POSCAR:
```
CeHBr
1.0
10.953 0.000 0.000
0.000 3.955 0.000
-1.343 0.000 5.856
Ce H Br
4 4 4
Cartesian
0.000 0.000 0.000 Ce
0.792 1.978 3.119 Ce
5.476 1.978 0.000 Ce
6.269 0.000 3.119 Ce
0.632 1.978 0.874 H
1.191 0.000 2.009 H
6.108 0.000 0.874 H
6.667 1.978 2.009 H
1.739 0.000 5.294 Br
3.888 1.978 2.752 Br
7.215 1.978 5.294 Br
9.365 0.000 2.752 Br
```

Calculated values
Energy, eV per atom: -4.62
Fermi-level density of states, states/eV/f.u.: 7.04
M_tot, μB/f.u.: 1.45


[3]
A relaxed CeH2Br6 crystal, computed with PBE-GGA.

Geometry as POSCAR:
```
CeH2Br6
1.0
7.139 -6.555 0.000
7.139 6.555 0.000
-3.340 0.000 6.648
Ce H Br
2 4 12
Cartesian
4.634 3.504 4.986 Ce
6.304 -3.504 1.662 Ce
2.213 1.300 3.258 H
0.543 -1.300 6.582 H
10.396 1.300 0.066 H
8.726 -1.300 3.390 H
0.240 1.164 3.411 Br
2.325 3.127 6.301 Br
1.910 -1.164 0.087 Br
3.750 1.296 3.102 Br
6.943 3.127 3.671 Br
2.080 -1.296 6.426 Br
8.858 1.296 0.222 Br
3.995 -3.127 2.977 Br
7.188 -1.296 3.546 Br
9.028 1.164 6.562 Br
8.613 -3.127 0.347 Br
10.698 -1.164 3.237 Br
```

Calculated values
Energy, eV per atom: -3.46
M_tot, μB/f.u.: 0.00


[4]
A relaxed CeH4Br5 crystal, computed with PBE-GGA.

Geometry as POSCAR:
```
CeH4Br5
1.0
-4.468 4.468 2.904
4.468 -4.468 2.904
4.468 4.468 -2.904
Ce H Br
1 4 5
Cartesian
0.000 0.000 0.000 Ce
5.512 -1.737 1.442 H
3.424 1.737 1.442 H
-1.737 3.424 1.442 H
1.737 5.512 1.442 H
2.878 0.767 0.280 Br
3.701 -1.591 3.184 Br
0.000 0.000 2.939 Br
0.767 6.059 0.280 Br
1.591 3.701 3.184 Br
```

Calculated values
Energy, eV per atom: -3.09
Fermi-level density of states, states/eV/f.u.: 7.69
M_tot, μB/f.u.: 1.03